# 1
First-principles (PBE-GGA) data for a geometry-optimized Tb2Y2AlGa4 structure, as listed in Alexandria via LeMat-Bulk.

The structure in CIF format:
```
data_Tb2Y2AlGa4
_symmetry_space_group_name_H-M 'I 4/m m m'
_symmetry_Int_Tables_number 139
_symmetry_space_group_name_Hall '-I 4 2'
_cell_length_a 6.9903
_cell_length_b 6.9903
_cell_length_c 8.8462
_cell_angle_alpha 90.00
_cell_angle_beta 90.00
_cell_angle_gamma 90.00
loop_
_atom_site_label
_atom_site_type_symbol
_atom_site_fract_x
_atom_site_fract_y
_atom_site_fract_z
Tb1 Tb 0.0000 0.0000 0.1873
Y1 Y 0.0000 0.5000 0.2500
Al1 Al 0.0000 0.0000 0.5000
Ga1 Ga 0.2503 0.2503 0.0000
```

## Properties
Energy relative to the elements in eV/atom: -0.259
E_tot in eV per cell: -80.7
Mass density in g/cm3: 6.2

# 2
First-principles (PBE-GGA) data for a geometry-optimized TbYAl2Ga structure, as listed in Alexandria via LeMat-Bulk.

The structure in CIF format:
```
data_TbYAl2Ga
_symmetry_space_group_name_H-M 'I m m 2'
_symmetry_Int_Tables_number 44
_symmetry_space_group_name_Hall 'I 2 -2'
_cell_length_a 4.3447
_cell_length_b 4.4258
_cell_length_c 12.1576
_cell_angle_alpha 90.00
_cell_angle_beta 90.00
_cell_angle_gamma 90.00
loop_
_atom_site_label
_atom_site_type_symbol
_atom_site_fract_x
_atom_site_fract_y
_atom_site_fract_z
Tb1 Tb 0.0000 0.0000 0.0000
Y1 Y 0.0000 0.5000 0.2530
Al1 Al 0.0000 0.0000 0.5082
Al2 Al 0.0000 0.5000 0.6556
Ga1 Ga 0.0000 0.5000 0.8565
```

## Properties
Energy relative to the elements in eV/atom: -0.369
E_tot in eV per cell: -46.9
Mass density in g/cm3: 5.3

# 3
First-principles (PBE-GGA) data for a geometry-optimized Tb4AlZn2Ga structure, as listed in Alexandria via LeMat-Bulk.

The structure in CIF format:
```
data_Tb4AlZn2Ga
_symmetry_space_group_name_H-M 'R -3 m'
_symmetry_Int_Tables_number 166
_symmetry_space_group_name_Hall '-R 3 2"'
_cell_length_a 5.0838
_cell_length_b 5.0838
_cell_length_c 24.9401
_cell_angle_alpha 90.00
_cell_angle_beta 90.00
_cell_angle_gamma 120.00
loop_
_atom_site_label
_atom_site_type_symbol
_atom_site_fract_x
_atom_site_fract_y
_atom_site_fract_z
Tb1 Tb 0.0000 0.0000 0.1237
Tb2 Tb 0.0000 0.0000 0.3739
Al1 Al 0.0000 0.0000 0.5000
Zn1 Zn 0.0000 0.0000 0.2470
Ga1 Ga 0.0000 0.0000 0.0000
```

## Properties
Energy relative to the elements in eV/atom: -0.429
E_tot in eV per cell: -93.8
Mass density in g/cm3: 7.7

# 4
First-principles (PBE-GGA) data for a geometry-optimized Tb2AlZn4Ga3 structure, as listed in Alexandria via LeMat-Bulk.

The structure in CIF format:
```
data_Tb2AlZn4Ga3
_symmetry_space_group_name_H-M 'P -4 m 2'
_symmetry_Int_Tables_number 115
_symmetry_space_group_name_Hall 'P -4 -2'
_cell_length_a 4.1441
_cell_length_b 4.1441
_cell_length_c 10.7267
_cell_angle_alpha 90.00
_cell_angle_beta 90.00
_cell_angle_gamma 90.00
loop_
_atom_site_label
_atom_site_type_symbol
_atom_site_fract_x
_atom_site_fract_y
_atom_site_fract_z
Tb1 Tb 0.0000 0.5000 0.2483
Al1 Al 0.0000 0.0000 0.5000
Zn1 Zn 0.0000 0.0000 0.0000
Zn2 Zn 0.0000 0.5000 0.6400
Zn3 Zn 0.5000 0.5000 0.0000
Ga1 Ga 0.0000 0.5000 0.8632
Ga2 Ga 0.5000 0.5000 0.5000
```

## Properties
Energy relative to the elements in eV/atom: -0.433
E_tot in eV per cell: -31.5
Mass density in g/cm3: 7.4

# 5
First-principles (PBE-GGA) data for a geometry-optimized TbZrAlGa structure, as listed in Alexandria via LeMat-Bulk.

The structure in CIF format:
```
data_TbZrAlGa
_symmetry_space_group_name_H-M 'F -4 3 m'
_symmetry_Int_Tables_number 216
_symmetry_space_group_name_Hall 'F -4 2 3'
_cell_length_a 6.9816
_cell_length_b 6.9816
_cell_length_c 6.9816
_cell_angle_alpha 90.00
_cell_angle_beta 90.00
_cell_angle_gamma 90.00
loop_
_atom_site_label
_atom_site_type_symbol
_atom_site_fract_x
_atom_site_fract_y
_atom_site_fract_z
Tb1 Tb 0.0000 0.0000 0.0000
Zr1 Zr 0.0000 0.0000 0.5000
Al1 Al 0.2500 0.2500 0.7500
Ga1 Ga 0.2500 0.2500 0.2500
```

## Properties
Energy relative to the elements in eV/atom: -0.360
E_tot in eV per cell: -85.6
Mass density in g/cm3: 6.8

# 6
First-principles (PBE-GGA) data for a geometry-optimized Al5Ga2Tc structure, as listed in Alexandria via LeMat-Bulk.

The structure in CIF format:
```
data_Al5Ga2Tc
_symmetry_space_group_name_H-M 'P 1'
_symmetry_Int_Tables_number 1
_symmetry_space_group_name_Hall 'P 1'
_cell_length_a 5.4379
_cell_length_b 5.4623
_cell_length_c 5.4742
_cell_angle_alpha 109.39
_cell_angle_beta 109.09
_cell_angle_gamma 108.42
loop_
_atom_site_label
_atom_site_type_symbol
_atom_site_fract_x
_atom_site_fract_y
_atom_site_fract_z
Al1 Al 0.0000 0.0000 0.0000
Al2 Al 0.0240 0.4405 0.5096
Al3 Al 0.3873 0.3568 0.9101
Al4 Al 0.4698 0.9676 0.5401
Al5 Al 0.9475 0.4932 0.0127
Ga1 Ga 0.4895 0.9117 0.0346
Ga2 Ga 0.5275 0.4735 0.4754
Tc1 Tc 0.8893 0.8562 0.4039
```

## Properties
Energy relative to the elements in eV/atom: -0.108
E_tot in eV per cell: -36.0
Mass density in g/cm3: 4.9

# 7
First-principles (PBE-GGA) data for a geometry-optimized Al6Ga2Tc structure, as listed in Alexandria via LeMat-Bulk.

The structure in CIF format:
```
data_Al6Ga2Tc
_symmetry_space_group_name_H-M 'P 42/m n m'
_symmetry_Int_Tables_number 136
_symmetry_space_group_name_Hall '-P 4n 2n'
_cell_length_a 5.8286
_cell_length_b 5.8286
_cell_length_c 11.2773
_cell_angle_alpha 90.00
_cell_angle_beta 90.00
_cell_angle_gamma 90.00
loop_
_atom_site_label
_atom_site_type_symbol
_atom_site_fract_x
_atom_site_fract_y
_atom_site_fract_z
Al1 Al 0.2009 0.2009 0.0000
Al2 Al 0.2370 0.7630 0.1159
Ga1 Ga 0.0000 0.0000 0.2612
Tc1 Tc 0.0000 0.0000 0.5000
```

## Properties
Energy relative to the elements in eV/atom: 0.223
E_tot in eV per cell: -73.7
Mass density in g/cm3: 3.5

# 8
First-principles (PBE-GGA) data for a geometry-optimized Al3GaTc structure, as listed in Alexandria via LeMat-Bulk.

The structure in CIF format:
```
data_Al3GaTc
_symmetry_space_group_name_H-M 'C 1 2/m 1'
_symmetry_Int_Tables_number 12
_symmetry_space_group_name_Hall '-C 2y'
_cell_length_a 15.8772
_cell_length_b 7.3769
_cell_length_c 2.8039
_cell_angle_alpha 90.00
_cell_angle_beta 98.03
_cell_angle_gamma 90.00
loop_
_atom_site_label
_atom_site_type_symbol
_atom_site_fract_x
_atom_site_fract_y
_atom_site_fract_z
Al1 Al 0.0761 0.0000 0.3324
Al2 Al 0.1682 0.3057 0.4339
Ga1 Ga 0.0000 0.3249 0.5000
Tc1 Tc 0.2196 0.0000 0.9713
```

## Properties
Energy relative to the elements in eV/atom: -0.181
E_tot in eV per cell: -102.1
Mass density in g/cm3: 5.1
E above lowest polymorph in eV/atom: 0.010

# 9
First-principles (PBE-GGA) data for a geometry-optimized AlGa4Tc structure, as listed in Alexandria via LeMat-Bulk.

The structure in CIF format:
```
data_AlGa4Tc
_symmetry_space_group_name_H-M 'P 2 2 2'
_symmetry_Int_Tables_number 16
_symmetry_space_group_name_Hall 'P 2 2'
_cell_length_a 5.3909
_cell_length_b 5.7739
_cell_length_c 6.9447
_cell_angle_alpha 90.00
_cell_angle_beta 90.00
_cell_angle_gamma 90.00
loop_
_atom_site_label
_atom_site_type_symbol
_atom_site_fract_x
_atom_site_fract_y
_atom_site_fract_z
Al1 Al 0.0000 0.0000 0.0000
Al2 Al 0.5000 0.0000 0.5000
Ga1 Ga 0.2418 0.2701 0.2434
Ga2 Ga 0.2429 0.2708 0.7576
Tc1 Tc 0.5000 0.0000 0.0000
Tc2 Tc 0.5000 0.5000 0.5000
```

## Properties
Energy relative to the elements in eV/atom: -0.025
E_tot in eV per cell: -52.7
Mass density in g/cm3: 6.2

# 10
First-principles (PBE-GGA) data for a geometry-optimized Al8GaTc2 structure, as listed in Alexandria via LeMat-Bulk.

The structure in CIF format:
```
data_Al8GaTc2
_symmetry_space_group_name_H-M 'C 1 2/m 1'
_symmetry_Int_Tables_number 12
_symmetry_space_group_name_Hall '-C 2y'
_cell_length_a 11.3771
_cell_length_b 6.9542
_cell_length_c 5.0818
_cell_angle_alpha 90.00
_cell_angle_beta 101.83
_cell_angle_gamma 90.00
loop_
_atom_site_label
_atom_site_type_symbol
_atom_site_fract_x
_atom_site_fract_y
_atom_site_fract_z
Al1 Al 0.0851 0.0000 0.3589
Al2 Al 0.1110 0.2047 0.9098
Al3 Al 0.2021 0.5000 0.2774
Ga1 Ga 0.0000 0.5000 0.5000
Tc1 Tc 0.2120 0.5000 0.7840
```

## Properties
Energy relative to the elements in eV/atom: -0.067
E_tot in eV per cell: -108.9
Mass density in g/cm3: 4.1

# 11
First-principles (PBE-GGA) data for a geometry-optimized Al5Ga4Tc structure, as listed in Alexandria via LeMat-Bulk.

The structure in CIF format:
```
data_Al5Ga4Tc
_symmetry_space_group_name_H-M 'I 4 m m'
_symmetry_Int_Tables_number 107
_symmetry_space_group_name_Hall 'I 4 -2'
_cell_length_a 8.6114
_cell_length_b 8.6114
_cell_length_c 4.9902
_cell_angle_alpha 90.00
_cell_angle_beta 90.00
_cell_angle_gamma 90.00
loop_
_atom_site_label
_atom_site_type_symbol
_atom_site_fract_x
_atom_site_fract_y
_atom_site_fract_z
Al1 Al 0.0000 0.0000 0.0000
Al2 Al 0.1925 0.1925 0.3130
Ga1 Ga 0.0000 0.2934 0.7440
Tc1 Tc 0.0000 0.0000 0.4988
```

## Properties
Energy relative to the elements in eV/atom: 0.001
E_tot in eV per cell: -82.4
Mass density in g/cm3: 4.6

# 12
First-principles (PBE-GGA) data for a geometry-optimized Al3GaTc structure, as listed in Alexandria via LeMat-Bulk.

The structure in CIF format:
```
data_Al3GaTc
_symmetry_space_group_name_H-M 'P 1 21/m 1'
_symmetry_Int_Tables_number 11
_symmetry_space_group_name_Hall '-P 2yb'
_cell_length_a 4.5048
_cell_length_b 5.3402
_cell_length_c 6.7122
_cell_angle_alpha 90.00
_cell_angle_beta 104.56
_cell_angle_gamma 90.00
loop_
_atom_site_label
_atom_site_type_symbol
_atom_site_fract_x
_atom_site_fract_y
_atom_site_fract_z
Al1 Al 0.0942 0.2500 0.0250
Al2 Al 0.2064 0.5005 0.3914
Ga1 Ga 0.4894 0.2500 0.8297
Tc1 Tc 0.3069 0.7500 0.7451
```

## Properties
Energy relative to the elements in eV/atom: -0.191
E_tot in eV per cell: -51.1
Mass density in g/cm3: 5.3
E above lowest polymorph in eV/atom: 0.000